(1)
KRbSe2Br | GGA-PBE | relaxed

Unit cell a=6.008 b=13.729 c=6.008 alpha=90.00 beta=90.00 gamma=90.00
Fractional coordinates of all 5 atoms:
Se 0.000 0.000 0.500
Se 0.500 0.000 0.000
Rb 0.000 0.500 0.000
K 0.000 0.000 0.000
Br 0.500 0.500 0.500

## Properties
Electronic total energy, eV/atom: -2.2432
Total magnetization, μB per atom: 0.60
Uncorrected formation energy, eV/atom: -0.10
Excess energy over the best structure of this formula in the dataset, meV/atom: 200

(2)
Sr2BeOs | GGA-PBE | relaxed

Unit cell a=6.847 b=6.847 c=6.847 alpha=146.76 beta=140.61 gamma=52.47
Fractional coordinates of all 4 atoms:
Be 0.417 0.417 0.000
Sr 0.002 0.002 0.000
Sr 0.744 0.244 0.500
Os 0.337 0.837 0.500

## Properties
Electronic total energy, eV/atom: -4.2217
Calculated formation energy, eV per atom: 0.358
Total magnetization, μB per atom: 0.00

(3)
B2Mo2Os | GGA-PBE | relaxed

Unit cell a=4.003 b=4.003 c=4.918 alpha=65.98 beta=65.98 gamma=90.00
Fractional coordinates of all 5 atoms:
Os 0.000 0.000 0.000
Mo 0.661 0.661 0.677
Mo 0.339 0.339 0.323
B 0.250 0.750 0.500
B 0.750 0.250 0.500

## Properties
Electronic total energy, eV/atom: -8.5714
Calculated formation energy, eV per atom: 0.678
Total magnetization, μB per atom: 0.29
Excess energy over the best structure of this formula in the dataset, meV/atom: 1034

(4)
MnSbTe2Pt | GGA-PBE | relaxed

Unit cell a=5.006 b=5.006 c=4.885 alpha=90.00 beta=90.00 gamma=90.00
Fractional coordinates of all 5 atoms:
Mn 0.000 0.000 0.000
Sb 0.000 0.000 0.500
Pt 0.500 0.500 0.500
Te 0.500 0.000 0.000
Te 0.000 0.500 0.000

## Properties
Electronic total energy, eV/atom: -4.4834
Total magnetization, μB per atom: 0.40
Uncorrected formation energy, eV/atom: 0.64
Excess energy over the best structure of this formula in the dataset, meV/atom: 47

(5)
AsWC3 | GGA-PBE | relaxed

Unit cell a=4.126 b=4.126 c=4.126 alpha=90.00 beta=90.00 gamma=90.00
Fractional coordinates of all 5 atoms:
C 0.000 0.000 0.500
C 0.000 0.500 0.000
C 0.500 0.000 0.000
W 0.000 0.000 0.000
As 0.500 0.500 0.500

## Properties
Electronic total energy, eV/atom: -6.9969
Calculated formation energy, eV per atom: 2.058
Total magnetization, μB per atom: 0.00
Excess energy over the best structure of this formula in the dataset, meV/atom: 0

(6)
SrLiAs2 | GGA-PBE | relaxed

Unit cell a=7.272 b=5.367 c=3.323 alpha=89.86 beta=63.04 gamma=122.48
Fractional coordinates of all 4 atoms:
Sr 0.500 0.500 0.000
As 0.000 0.000 0.000
As 0.500 0.000 0.500
Li 0.000 0.500 0.500

## Properties
Electronic total energy, eV/atom: -3.7589
Calculated formation energy, eV per atom: -0.535
Total magnetization, μB per atom: 0.00
Excess energy over the best structure of this formula in the dataset, meV/atom: 237

Repeat the fifth record exactly.
AsWC3 | GGA-PBE | relaxed

Unit cell a=4.126 b=4.126 c=4.126 alpha=90.00 beta=90.00 gamma=90.00
Fractional coordinates of all 5 atoms:
C 0.000 0.000 0.500
C 0.000 0.500 0.000
C 0.500 0.000 0.000
W 0.000 0.000 0.000
As 0.500 0.500 0.500

## Properties
Electronic total energy, eV/atom: -6.9969
Calculated formation energy, eV per atom: 2.058
Total magnetization, μB per atom: 0.00
Excess energy over the best structure of this formula in the dataset, meV/atom: 0